*P*
10
Lattice="-1.893 -2.128 7.825 6.053 -5.719 -0.090 2.509 2.634 1.323" Properties=species:S:1:pos:R:3 comment="CdBi2As2, relaxed, DFT PBE" m_tot_mub_per_atom=0.00 pbc="T T T"
Bi 2.357 -5.540 6.561
Bi -0.306 -2.273 5.104
As 1.736 -2.442 7.231
As 1.552 -0.309 3.335
Cd 2.080 -3.923 3.867
Bi 4.465 -5.574 2.631
Cd 0.000 0.000 0.000
Bi 1.802 -2.306 1.174
As 5.116 -4.903 5.723
As 4.932 -2.770 1.827

---

*Q*
5
Lattice="-2.898 -3.978 -1.737 2.605 -3.264 3.131 -4.065 -2.638 4.982" Properties=species:S:1:pos:R:3 comment="CdBi2As2, relaxed, DFT PBE" m_tot_mub_per_atom=0.00 pbc="T T T"
Cd 0.000 0.000 0.000
Bi -1.259 -3.342 1.914
As -0.803 -4.762 4.405
Bi -3.099 -6.539 4.463
As -3.555 -5.119 1.971

---

Most stable: *Q*. Least stable: *P*.

---

*P*
5
Lattice="-4.241 0.578 -4.079 0.477 -5.746 -1.309 -4.696 -3.456 0.108" Properties=species:S:1:pos:R:3 comment="CdBi2As2, relaxed, DFT PBE" m_tot_mub_per_atom=0.00 pbc="T T T"
As -2.868 -2.890 -1.713
Bi -3.051 -5.893 -1.948
As -5.592 -5.735 -3.568
Bi -5.409 -2.731 -3.333
Cd 0.000 0.000 0.000

---

*Q*
10
Lattice="8.080 0.000 0.000 0.000 8.080 0.000 0.000 0.000 4.050" Properties=species:S:1:pos:R:3 comment="CdBi2As2, relaxed, DFT PBE" m_tot_mub_per_atom=0.00 pbc="T T T"
Cd 0.000 0.000 0.000
As 6.766 5.354 0.000
As 2.726 6.766 0.000
Cd 4.040 4.040 0.000
Bi 1.257 5.297 2.025
Bi 6.822 2.782 2.025
As 5.354 1.314 0.000
Bi 5.297 6.822 2.025
As 1.314 2.726 0.000
Bi 2.782 1.257 2.025

---

Most stable: *P*. Least stable: *Q*.